{"formula": "VCdPbO4", "functional": "PBE+U", "state": "relaxed", "dft_energy_ev_per_atom": -5.9512, "dos_ef_per_ev_fu": 1.568, "spacegroup": "P2_1/m (11)", "lattice_angstrom": [[6.4721, 0.0000, 0.0000], [0.0000, 5.7460, 0.0000], [-2.3797, 0.0000, 6.8333]], "species": ["V", "V", "Cd", "Cd", "Pb", "Pb", "O", "O", "O", "O", "O", "O", "O", "O"], "frac_coords": [[0.0313, 0.2500, 0.3272], [0.9687, 0.7500, 0.6728], [0.3781, 0.7500, 0.4510], [0.6219, 0.2500, 0.5490], [0.1910, 0.2500, 0.9089], [0.8090, 0.7500, 0.0911], [0.1101, 0.0019, 0.2162], [0.1101, 0.4981, 0.2162], [0.1751, 0.2500, 0.5732], [0.2472, 0.7500, 0.7275], [0.7528, 0.2500, 0.2725], [0.8249, 0.7500, 0.4268], [0.8899, 0.5019, 0.7838], [0.8899, 0.9981, 0.7838]]}